[1]
A relaxed structure of Ac2LaThS4. Source: Alexandria, functional PBE.

Symmetry: No. 10
E_tot: -0.24335 Ha/atom
Energy relative to the elements, uncorrected: -1988 meV per atom

Cell: 4.189 7.258 7.293 Å, 109.39 90.00 90.00°
Fractional coordinates of all 8 atoms:
S 0.500 0.750 0.763
S 0.000 0.259 0.765
S 0.500 0.250 0.237
S 0.000 0.741 0.235
Ac 0.500 0.000 0.500
Ac 0.000 0.500 0.500
Th 0.500 0.500 0.000
La 0.000 0.000 0.000

[2]
A relaxed structure of NaTcI6. Source: Alexandria, functional PBE.

Symmetry: No. 12
E_tot: -0.10647 Ha/atom
Energy relative to the elements, uncorrected: -274 meV per atom

Cell: 8.629 7.029 7.961 Å, 105.53 113.61 108.69°
Last column: magnetic moment on the atom in μB.
Fractional coordinates of all 8 atoms:
I 0.357 0.596 0.000  -0.21
I 0.437 0.179 0.304  0.03
I 0.563 0.821 0.696  0.03
I 0.867 0.124 0.304  0.03
I 0.643 0.404 0.000  -0.21
I 0.133 0.876 0.696  0.03
Tc 0.500 0.000 0.000  2.10
Na 0.000 0.000 0.000  0.01

[3]
A relaxed structure of CaB2Os. Source: Alexandria, functional PBE.

Symmetry: No. 141
E_tot: -0.24486 Ha/atom
Energy above the lowest structure with this stoichiometry: 116 meV per atom
Energy relative to the elements: -16 meV per atom

Cell: 4.572 4.572 7.338 Å, 71.85 71.85 90.00°
Fractional coordinates of all 8 atoms:
Os 0.750 0.250 0.500
Os 0.000 0.000 0.000
Ca 0.500 0.500 0.000
Ca 0.250 0.750 0.500
B 0.875 0.625 0.250
B 0.375 0.125 0.750
B 0.875 0.125 0.750
B 0.875 0.125 0.250

[4]
A relaxed structure of Ac2EuRh. Source: Alexandria, functional PBE.

Symmetry: No. 123
E_tot: -0.24719 Ha/atom
Energy above the lowest structure with this stoichiometry: 129 meV per atom
Energy relative to the elements: -266 meV per atom

Cell: 3.796 3.796 9.858 Å, 90.00 90.00 90.00°
Last column: magnetic moment on the atom in μB.
Fractional coordinates of all 4 atoms:
Eu 0.500 0.500 0.500  7.01
Rh 0.500 0.500 0.000  0.06
Ac 0.000 0.000 0.177  0.03
Ac 0.000 0.000 0.823  0.03